[1]
A plane-wave DFT calculation with GGA-PBE was carried out for K2TaRu after structural relaxation.

Cell and atoms, written as POSCAR:
```
K2TaRu
1.0
3.3244 0.0000 0.0000
0.0000 3.4726 0.0000
0.0000 0.0000 10.8773
K Ta Ru
2 1 1
Direct
0.0000 0.0000 0.0000
0.5000 0.5000 0.3967
0.0000 0.0000 0.6698
0.5000 0.5000 0.7564
```

Results
energy: -5.305 eV/atom
E above lowest polymorph: 0 kJ/mol of formula units
M_tot: 0.0904 μB per atom

---

[2]
A plane-wave DFT calculation with GGA-PBE was carried out for K2TaRu after structural relaxation.

Cell and atoms, written as POSCAR:
```
K2TaRu
1.0
3.1018 -1.7641 0.0000
3.1018 1.7641 0.0000
-1.9078 0.0000 11.6865
K Ta Ru
2 1 1
Direct
0.0000 0.0000 0.0000
0.2168 0.2168 0.6373
0.7663 0.7663 0.2861
0.4716 0.4716 0.4030
```

Results
energy: -5.219 eV/atom
E above lowest polymorph: 33 kJ/mol of formula units
M_tot: 0.0000 μB per atom

---

[3]
A plane-wave DFT calculation with GGA-PBE was carried out for K2TaRu2 after structural relaxation.

Cell and atoms, written as POSCAR:
```
K2TaRu2
1.0
-1.8639 1.8639 7.8465
1.8639 -1.8639 7.8465
1.8639 1.8639 -7.8465
K Ta Ru
2 1 2
Direct
0.2500 0.7500 0.5000
0.7500 0.2500 0.5000
0.0000 0.0000 0.0000
0.4247 0.4247 0.0000
0.5753 0.5753 0.0000
```

Results
energy: -5.186 eV/atom
E above lowest polymorph: 264 kJ/mol of formula units
M_tot: 0.5883 μB per atom